[1]
First-principles (GGA-PBE) data for crystalline Ca3GeP2Pt9 at its relaxed geometry, as listed in Alexandria.

The space group is P-3m1 (No. 164) and the conventional cell measures 6.3669, 6.3669 and 8.6183 Å, with angles of 90.00, 90.00 and 120.00 degrees. Symmetry generates all atoms from Ca at (0.0000, 0.0000, 0.0000), Ca at (0.3333, 0.6667, 0.6752), Ge at (0.0000, 0.0000, 0.5000), P at (0.3333, 0.6667, 0.1808), Pt at (0.0000, 0.5000, 0.0000) and Pt at (0.1455, 0.2910, 0.2798).

The formation energy is -0.651 eV/atom.

***

[2]
First-principles (GGA-PBE) data for crystalline Ca2Ge3PPt4 at its relaxed geometry, as listed in Alexandria.

The space group is P-4m2 (No. 115) and the conventional cell measures 4.385, 4.385 and 9.899 Å, with angles of 90.00, 90.00 and 90.00 degrees. Symmetry generates all atoms from Ca at (0.000, 0.500, 0.243), Ge at (0.000, 0.000, 0.000), Ge at (0.000, 0.500, 0.629), P at (0.500, 0.500, 0.000), Pt at (0.000, 0.000, 0.500), Pt at (0.000, 0.500, 0.880) and Pt at (0.500, 0.500, 0.500).

The formation energy is -0.783 eV/atom.

***

[3]
First-principles (GGA-PBE) data for crystalline CaGe2P2Pt7 at its relaxed geometry, as listed in Alexandria.

The space group is C2/m (No. 12) and the conventional cell measures 5.509, 5.470 and 15.136 Å, with angles of 90.00, 100.17 and 90.00 degrees. Symmetry generates all atoms from Ca at (0.000, 0.000, 0.000), Ge at (0.237, 0.000, 0.431), P at (0.117, 0.500, 0.241), Pt at (0.000, 0.500, 0.000), Pt at (0.176, 0.250, 0.847) and Pt at (0.184, 0.500, 0.397).

The formation energy is -0.477 eV/atom.

***

[4]
First-principles (GGA-PBE) data for crystalline Ca2GePRh6 at its relaxed geometry, as listed in Alexandria.

The space group is Pmmn (No. 59, origin choice 2) and the conventional cell measures 6.866, 8.761 and 5.961 Å, with angles of 90.00, 90.00 and 90.00 degrees. Symmetry generates all atoms from Ca at (0.250, 0.005, 0.235), Ge at (0.250, 0.750, 0.878), P at (0.250, 0.250, 0.619), Rh at (0.042, 0.750, 0.532), Rh at (0.052, 0.250, 0.945) and Rh at (0.250, 0.004, 0.720).

The formation energy is -0.458 eV/atom.

***

[5]
First-principles (GGA-PBE) data for crystalline Ca2GeP3Rh4 at its relaxed geometry, as listed in Alexandria.

The space group is P-4m2 (No. 115) and the conventional cell measures 4.094, 4.094 and 9.954 Å, with angles of 90.00, 90.00 and 90.00 degrees. Symmetry generates all atoms from Ca at (0.000, 0.500, 0.247), Ge at (0.500, 0.500, 0.000), P at (0.000, 0.000, 0.000), P at (0.000, 0.500, 0.632), Rh at (0.000, 0.000, 0.500), Rh at (0.000, 0.500, 0.867) and Rh at (0.500, 0.500, 0.500).

The formation energy is -0.874 eV/atom.

***

[6]
First-principles (GGA-PBE) data for crystalline CaGeSbP2 at its relaxed geometry, as listed in Alexandria.

The space group is P4/mmm (No. 123) and the conventional cell measures 4.736, 4.736 and 5.564 Å, with angles of 90.00, 90.00 and 90.00 degrees. Symmetry generates all atoms from Ca at (0.000, 0.000, 0.000), Ge at (0.000, 0.000, 0.500), Sb at (0.500, 0.500, 0.000) and P at (0.000, 0.500, 0.500).

The formation energy from raw total energies is 0.379 eV/atom.

***

[7]
First-principles (GGA-PBE) data for crystalline CaScGe2P at its relaxed geometry, as listed in Alexandria.

The space group is P4/mmm (No. 123) and the conventional cell measures 4.930, 4.930 and 5.061 Å, with angles of 90.00, 90.00 and 90.00 degrees. Symmetry generates all atoms from Ca at (0.000, 0.000, 0.000), Sc at (0.500, 0.500, 0.000), Ge at (0.000, 0.500, 0.500) and P at (0.000, 0.000, 0.500).

The formation energy is 0.178 eV/atom.

***

[8]
First-principles (GGA-PBE) data for crystalline Ca2GePSe at its relaxed geometry, as listed in Alexandria.

The space group is P4/mmm (No. 123) and the conventional cell measures 5.676, 5.676 and 4.718 Å, with angles of 90.00, 90.00 and 90.00 degrees. Symmetry generates all atoms from Ca at (0.000, 0.500, 0.000), Ge at (0.000, 0.000, 0.000), P at (0.500, 0.500, 0.500) and Se at (0.000, 0.000, 0.500).

The formation energy from raw total energies is -0.001 eV/atom.

***

Calculated total moment (μB/f.u.), listed in the same order as above: 0.00; 0.00; 0.00; 0.00; 0.00; 0.00; 0.26; 0.65